{"formula": "LiLa3Dy2S6", "functional": "PBE", "state": "optimized geometry", "e_form_raw_kj_per_mol_atoms": -194.2, "dos_at_fermi_per_ev_fu": 5.46, "sg": "C2/m, No. 12", "vol_a3_per_atom": 22.9, "lattice": [[6.946, -0.009, -0.002], [-3.479, 6.012, -0.002], [-1.159, -2.006, 6.599]], "species": ["S", "S", "Dy", "La", "Dy", "S", "S", "Li", "La", "S", "S", "La"], "frac_coords": [[0.924, 0.595, 0.771], [0.405, 0.076, 0.229], [0.666, 0.334, 0.000], [0.166, 0.834, 0.500], [0.334, 0.666, 0.000], [0.252, 0.252, 0.774], [0.748, 0.748, 0.226], [0.000, 0.000, 0.000], [0.834, 0.166, 0.500], [0.076, 0.405, 0.229], [0.595, 0.924, 0.771], [0.500, 0.500, 0.500]]}

{"formula": "LiLaDy2S4", "functional": "PBE", "state": "optimized geometry", "e_form_raw_kj_per_mol_atoms": -182.2, "dos_at_fermi_per_ev_fu": 4.23, "sg": "Cmcm, No. 63", "vol_a3_per_atom": 21.6, "lattice": [[-1.108, -3.715, 0.489], [5.325, 1.016, 4.168], [-8.425, 3.806, 9.836]], "species": ["S", "La", "S", "S", "S", "Dy", "Dy", "Li", "S", "Dy", "S", "S", "Dy", "Li", "La", "S"], "frac_coords": [[0.454, 0.908, 0.750], [0.121, 0.242, 0.750], [0.270, 0.540, 0.123], [0.546, 0.092, 0.250], [0.000, 0.000, 0.500], [0.632, 0.265, 0.057], [0.632, 0.265, 0.443], [0.146, 0.292, 0.250], [0.730, 0.460, 0.623], [0.368, 0.735, 0.557], [0.730, 0.460, 0.877], [0.000, 0.000, 0.000], [0.368, 0.735, 0.943], [0.854, 0.708, 0.750], [0.879, 0.758, 0.250], [0.270, 0.540, 0.377]]}

{"formula": "LiLa4Dy3S8", "functional": "PBE", "state": "optimized geometry", "e_form_raw_kj_per_mol_atoms": -195.5, "dos_at_fermi_per_ev_fu": 10.83, "sg": "R-3m, No. 166", "vol_a3_per_atom": 23.0, "lattice": [[8.016, 0.000, 0.000], [0.000, 8.075, 0.036], [-4.008, -4.004, 5.671]], "species": ["Dy", "S", "Li", "S", "S", "La", "S", "Dy", "La", "Dy", "La", "S", "S", "La", "S", "S"], "frac_coords": [[0.000, 0.500, 0.500], [0.743, 0.730, 0.487], [0.000, 0.500, 0.000], [0.759, 0.273, 0.013], [0.241, 0.727, 0.987], [0.500, 0.000, 0.000], [0.759, 0.273, 0.518], [0.500, 0.500, 0.000], [0.500, 0.000, 0.500], [0.500, 0.500, 0.500], [0.000, 0.000, 0.500], [0.241, 0.727, 0.482], [0.746, 0.727, 0.987], [0.000, 0.000, 0.000], [0.257, 0.270, 0.513], [0.254, 0.273, 0.013]]}

{"formula": "Li2LaDy2Sb2", "functional": "PBE", "state": "optimized geometry", "e_form_raw_kj_per_mol_atoms": -57.8, "dos_at_fermi_per_ev_fu": 5.99, "sg": "R-3m, No. 166", "vol_a3_per_atom": 25.7, "lattice": [[-4.318, 1.740, -1.096], [-3.487, -2.961, -1.396], [-5.198, -1.416, 7.798]], "species": ["Dy", "La", "Li", "Sb", "Li", "Sb", "Dy"], "frac_coords": [[0.132, 0.132, 0.605], [0.000, 0.000, 0.000], [0.586, 0.586, 0.242], [0.259, 0.259, 0.223], [0.414, 0.414, 0.758], [0.741, 0.741, 0.777], [0.868, 0.868, 0.395]]}

{"formula": "LiLaDySb", "functional": "PBE", "state": "optimized geometry", "e_form_raw_kj_per_mol_atoms": -46.1, "dos_at_fermi_per_ev_fu": 3.94, "sg": "F-43m, No. 216", "vol_a3_per_atom": 26.9, "lattice": [[5.338, 0.000, 0.000], [2.669, 4.623, 0.000], [2.669, 1.541, 4.358]], "species": ["La", "Sb", "Li", "Dy"], "frac_coords": [[0.000, 0.000, 0.000], [0.750, 0.750, 0.750], [0.250, 0.250, 0.250], [0.500, 0.500, 0.500]]}

{"formula": "LiLaDySc", "functional": "PBE", "state": "optimized geometry", "delta_e_f_ev_per_fu": 0.6, "dos_at_fermi_per_ev_fu": 4.86, "sg": "F-43m, No. 216", "vol_a3_per_atom": 28.5, "lattice": [[5.443, 0.000, 0.000], [2.722, 4.714, 0.000], [2.722, 1.571, 4.445]], "species": ["La", "Li", "Dy", "Sc"], "frac_coords": [[0.750, 0.750, 0.750], [0.000, 0.000, 0.000], [0.250, 0.250, 0.250], [0.500, 0.500, 0.500]]}

{"formula": "LiLa2DySe4", "functional": "PBE", "state": "optimized geometry", "e_form_raw_kj_per_mol_atoms": -175.4, "dos_at_fermi_per_ev_fu": 3.13, "sg": "P2/m, No. 10", "vol_a3_per_atom": 25.9, "lattice": [[-0.218, -0.822, -4.107], [6.499, -3.088, 0.273], [-0.726, -7.085, 1.455]], "species": ["La", "Se", "La", "Se", "Se", "Se", "Li", "Dy"], "frac_coords": [[0.500, 0.000, 0.500], [0.000, 0.730, 0.759], [0.000, 0.000, 0.000], [0.000, 0.270, 0.241], [0.500, 0.270, 0.748], [0.500, 0.730, 0.252], [0.500, 0.500, 0.000], [0.000, 0.500, 0.500]]}

{"formula": "LiLa4Dy3Se8", "functional": "PBE", "state": "optimized geometry", "e_form_raw_kj_per_mol_atoms": -178.5, "dos_at_fermi_per_ev_fu": 10.15, "sg": "R-3m, No. 166", "vol_a3_per_atom": 25.9, "lattice": [[8.350, 0.000, 0.000], [0.000, 8.394, 0.026], [-4.175, -4.171, 5.907]], "species": ["Se", "La", "La", "La", "Dy", "Dy", "Se", "Se", "Dy", "Se", "Se", "Li", "La", "Se", "Se", "Se"], "frac_coords": [[0.240, 0.728, 0.480], [0.500, 0.000, 0.500], [0.500, 0.000, 0.000], [0.000, 0.000, 0.500], [0.000, 0.500, 0.500], [0.500, 0.500, 0.000], [0.744, 0.732, 0.488], [0.748, 0.728, 0.988], [0.500, 0.500, 0.500], [0.240, 0.728, 0.988], [0.252, 0.272, 0.012], [0.000, 0.500, 0.000], [0.000, 0.000, 0.000], [0.760, 0.272, 0.520], [0.256, 0.268, 0.512], [0.760, 0.272, 0.012]]}

{"formula": "LiLa2DySe5", "functional": "PBE", "state": "optimized geometry", "e_form_raw_kj_per_mol_atoms": -178.8, "sg": "Cmc2_1, No. 36", "vol_a3_per_atom": 25.6, "lattice": [[-1.791, -1.773, -3.370], [8.774, -0.568, -1.737], [0.399, -11.192, 5.675]], "species": ["Dy", "La", "Se", "Se", "Se", "Dy", "La", "Se", "La", "Se", "Se", "Li", "Se", "La", "Se", "Se", "Li", "Se"], "frac_coords": [[0.803, 0.605, 0.503], [0.875, 0.749, 0.799], [0.287, 0.573, 0.660], [0.500, 0.001, 0.282], [0.308, 0.616, 0.347], [0.197, 0.395, 0.003], [0.892, 0.784, 0.185], [0.047, 0.094, 0.069], [0.125, 0.251, 0.299], [0.638, 0.276, 0.499], [0.362, 0.724, 0.999], [0.516, 0.033, 0.979], [0.500, 0.999, 0.782], [0.108, 0.216, 0.685], [0.692, 0.384, 0.847], [0.713, 0.427, 0.160], [0.484, 0.967, 0.479], [0.953, 0.906, 0.569]]}

{"formula": "LiLa3Dy2Se6", "functional": "PBE", "state": "optimized geometry", "e_form_raw_kj_per_mol_atoms": -178.0, "dos_at_fermi_per_ev_fu": 5.98, "sg": "C2/m, No. 12", "vol_a3_per_atom": 25.8, "lattice": [[7.230, -0.008, -0.003], [-3.620, 6.259, -0.003], [-1.207, -2.089, 6.856]], "species": ["La", "Se", "Se", "Li", "Se", "Dy", "Se", "Se", "Dy", "La", "Se", "La"], "frac_coords": [[0.500, 0.500, 0.500], [0.750, 0.750, 0.227], [0.076, 0.403, 0.229], [0.000, 0.000, 0.000], [0.924, 0.597, 0.771], [0.334, 0.666, 0.000], [0.250, 0.250, 0.773], [0.597, 0.924, 0.771], [0.666, 0.334, 0.000], [0.167, 0.833, 0.500], [0.403, 0.076, 0.229], [0.833, 0.167, 0.500]]}

{"formula": "LiLaDySi", "functional": "PBE", "state": "optimized geometry", "e_form_raw_kj_per_mol_atoms": -32.8, "dos_at_fermi_per_ev_fu": 2.26, "sg": "F-43m, No. 216", "vol_a3_per_atom": 23.7, "lattice": [[-4.000, 2.975, 1.155], [-4.516, -0.786, -2.276], [-3.919, -1.909, 2.681]], "species": ["Dy", "Si", "La", "Li"], "frac_coords": [[0.500, 0.500, 0.500], [0.750, 0.750, 0.750], [0.000, 0.000, 0.000], [0.250, 0.250, 0.250]]}

{"formula": "Li2LaDySi2", "functional": "PBE", "state": "optimized geometry", "e_form_raw_kj_per_mol_atoms": -53.4, "dos_at_fermi_per_ev_fu": 1.30, "sg": "P-3m1, No. 164", "vol_a3_per_atom": 21.3, "lattice": [[-3.396, 2.568, 1.301], [2.615, -1.939, 3.037], [4.485, 5.959, -0.057]], "species": ["Li", "Li", "La", "Si", "Si", "Dy"], "frac_coords": [[0.667, 0.333, 0.206], [0.333, 0.667, 0.794], [0.000, 0.000, 0.500], [0.667, 0.333, 0.769], [0.333, 0.667, 0.231], [0.000, 0.000, 0.000]]}